A geometry-optimized NdDy4Ho3Se8 structure, computed with PBE-GGA.

Cell and atoms, written as extended XYZ:
```
16
Lattice="-4.2897 -3.0357 -6.2696 -5.2333 -3.4485 5.2505 1.5211 8.0307 0.4080" Properties=species:S:1:pos:R:3 pbc="T T T"
Ho -4.0010 0.7732 -0.3055
Ho -1.8561 2.2911 2.8293
Ho -4.7615 -3.2421 -0.5095
Se -3.5164 4.6481 2.7659
Se -1.6316 2.3962 -0.0438
Se -2.3874 -1.6168 -0.3104
Se -4.2602 0.7204 2.5661
Se -4.4856 -3.1017 -3.3769
Se -3.7417 0.8261 -3.1771
Se -5.6146 3.1633 -0.3007
Se -6.3703 -0.8497 -0.5672
Nd -2.6167 -1.7243 2.6252
Dy -1.3843 2.4975 -2.9308
Dy 0.7605 4.0154 0.2040
Dy 0.0000 0.0000 0.0000
Dy -2.1449 -1.5179 -3.1348
```

Summary:
The raw total energy is -5.79 eV/atom. The calculation puts the density of states at the Fermi level at 0.6436 states/eV/atom. As for the space-group type: R-3m. Its raw formation energy is -1.7411 eV per atom.